# 1
First-principles (PBE) data for a geometry-optimized BeFeCoSb structure, as listed in Alexandria via LeMat-Bulk.

abc: 4.089 4.089 4.089
angles: 60.00 60.00 60.00
Last column: magnetic moment on the atom in μB.
Element x y z (fractional)
Sb 0.250 0.250 0.250  -0.01
Co 0.000 0.000 0.000  0.13
Fe 0.500 0.500 0.500  0.26
Be 0.750 0.750 0.750  -0.01

Space group: F-43m (216)
Density (g/cm3): 8.43
Density of states at the Fermi level (states/eV/f.u.): 1.89
Uncorrected energy (eV/atom): -5.807

***

# 2
First-principles (PBE) data for a geometry-optimized Sc2BeFe2Co5 structure, as listed in Alexandria via LeMat-Bulk.

abc: 3.585 8.491 8.491
angles: 90.00 90.00 90.00
Last column: magnetic moment on the atom in μB.
Element x y z (fractional)
Sc 0.000 0.679 0.179  -0.25
Sc 0.000 0.321 0.821  -0.25
Sc 0.000 0.179 0.321  -0.25
Sc 0.000 0.821 0.679  -0.25
Be 0.000 0.000 0.000  -0.03
Be 0.000 0.500 0.500  -0.03
Fe 0.000 0.121 0.621  2.21
Fe 0.000 0.879 0.379  2.21
Fe 0.000 0.621 0.879  2.21
Fe 0.000 0.379 0.121  2.21
Co 0.500 0.194 0.057  1.29
Co 0.500 0.806 0.943  1.29
Co 0.500 0.057 0.806  1.29
Co 0.500 0.694 0.443  1.29
Co 0.500 0.943 0.194  1.29
Co 0.500 0.306 0.557  1.29
Co 0.500 0.557 0.694  1.29
Co 0.500 0.443 0.306  1.29
Co 0.500 0.500 0.000  1.17
Co 0.500 0.000 0.500  1.17

Space group: P4/mbm (127)
Formation energy (eV per atom): -0.035
Density (g/cm3): 6.49
Density of states at the Fermi level (states/eV/f.u.): 7.77
Uncorrected energy (eV/atom): -6.919

***

# 3
First-principles (PBE) data for a geometry-optimized BeFeCoSn structure, as listed in Alexandria via LeMat-Bulk.

abc: 4.108 4.108 4.108
angles: 60.00 60.00 60.00
Element x y z (fractional)
Be 0.250 0.250 0.250
Co 0.000 0.000 0.000
Sn 0.750 0.750 0.750
Fe 0.500 0.500 0.500

Space group: F-43m (216)
Formation energy (eV per atom): 0.094
Density (g/cm3): 8.22
Density of states at the Fermi level (states/eV/f.u.): 3.49
Uncorrected energy (eV/atom): -5.730

***

# 4
First-principles (PBE) data for a geometry-optimized Ta2Be2FeCo5 structure, as listed in Alexandria via LeMat-Bulk.

abc: 3.132 8.512 8.512
angles: 90.00 90.00 90.00
Last column: magnetic moment on the atom in μB.
Element x y z (fractional)
Ta 0.000 0.677 0.177  -0.13
Ta 0.000 0.323 0.823  -0.13
Ta 0.000 0.177 0.323  -0.13
Ta 0.000 0.823 0.677  -0.13
Be 0.000 0.119 0.619  -0.01
Be 0.000 0.881 0.381  -0.01
Be 0.000 0.619 0.881  -0.01
Be 0.000 0.381 0.119  -0.01
Fe 0.000 0.000 0.000  2.81
Fe 0.000 0.500 0.500  2.81
Co 0.500 0.211 0.067  0.55
Co 0.500 0.789 0.933  0.55
Co 0.500 0.067 0.789  0.55
Co 0.500 0.711 0.433  0.55
Co 0.500 0.933 0.211  0.55
Co 0.500 0.289 0.567  0.55
Co 0.500 0.567 0.711  0.55
Co 0.500 0.433 0.289  0.55
Co 0.500 0.500 0.000  0.08
Co 0.500 0.000 0.500  0.08

Space group: P4/mbm (127)
Formation energy (eV per atom): -0.245
Density (g/cm3): 10.69
Density of states at the Fermi level (states/eV/f.u.): 6.46
Uncorrected energy (eV/atom): -7.760

***

# 5
First-principles (PBE) data for a geometry-optimized Ti2Be5Fe2Co structure, as listed in Alexandria via LeMat-Bulk.

abc: 2.911 8.488 8.488
angles: 90.00 90.00 90.00
Element x y z (fractional)
Ti 0.000 0.680 0.180
Ti 0.000 0.320 0.820
Ti 0.000 0.180 0.320
Ti 0.000 0.820 0.680
Be 0.500 0.189 0.047
Be 0.500 0.811 0.953
Be 0.500 0.047 0.811
Be 0.500 0.689 0.453
Be 0.500 0.953 0.189
Be 0.500 0.311 0.547
Be 0.500 0.547 0.689
Be 0.500 0.453 0.311
Be 0.500 0.500 0.000
Be 0.500 0.000 0.500
Fe 0.000 0.132 0.632
Fe 0.000 0.868 0.368
Fe 0.000 0.632 0.868
Fe 0.000 0.368 0.132
Co 0.000 0.000 0.000
Co 0.000 0.500 0.500

Space group: P4/mbm (127)
Formation energy (eV per atom): -0.103
Density (g/cm3): 4.93
Density of states at the Fermi level (states/eV/f.u.): 7.20
Uncorrected energy (eV/atom): -5.948

***

# 6
First-principles (PBE) data for a geometry-optimized Tm2BeFe2Co5 structure, as listed in Alexandria via LeMat-Bulk.

abc: 3.192 9.286 9.286
angles: 90.00 90.00 90.00
Last column: magnetic moment on the atom in μB.
Element x y z (fractional)
Tm 0.000 0.673 0.173  -0.38
Tm 0.000 0.327 0.827  -0.38
Tm 0.000 0.173 0.327  -0.38
Tm 0.000 0.827 0.673  -0.38
Be 0.000 0.000 0.000  -0.03
Be 0.000 0.500 0.500  -0.03
Fe 0.000 0.132 0.632  2.42
Fe 0.000 0.868 0.368  2.42
Fe 0.000 0.632 0.868  2.42
Fe 0.000 0.368 0.132  2.42
Co 0.500 0.185 0.053  1.32
Co 0.500 0.815 0.947  1.32
Co 0.500 0.053 0.815  1.32
Co 0.500 0.685 0.447  1.32
Co 0.500 0.947 0.185  1.32
Co 0.500 0.315 0.553  1.32
Co 0.500 0.553 0.685  1.32
Co 0.500 0.447 0.315  1.32
Co 0.500 0.500 0.000  1.34
Co 0.500 0.000 0.500  1.34

Space group: P4/mbm (127)
Formation energy (eV per atom): 0.022
Density (g/cm3): 9.09
Density of states at the Fermi level (states/eV/f.u.): 9.61
Uncorrected energy (eV/atom): -6.490

***

# 7
First-principles (PBE) data for a geometry-optimized BeVFeCo structure, as listed in Alexandria via LeMat-Bulk.

abc: 3.874 3.874 3.874
angles: 60.00 60.00 60.00
Element x y z (fractional)
Be 0.000 0.000 0.000
Co 0.750 0.750 0.750
Fe 0.250 0.250 0.250
V 0.500 0.500 0.500

Space group: F-43m (216)
Formation energy (eV per atom): -0.306
Density (g/cm3): 7.06
Density of states at the Fermi level (states/eV/f.u.): 0.41
Uncorrected energy (eV/atom): -7.410

***

# 8
First-principles (PBE) data for a geometry-optimized Be2FeCo5W2 structure, as listed in Alexandria via LeMat-Bulk.

abc: 2.850 8.799 8.799
angles: 90.00 90.00 90.00
Last column: magnetic moment on the atom in μB.
Element x y z (fractional)
Be 0.000 0.122 0.622  -0.03
Be 0.000 0.878 0.378  -0.03
Be 0.000 0.622 0.878  -0.03
Be 0.000 0.378 0.122  -0.03
Fe 0.000 0.000 0.000  2.81
Fe 0.000 0.500 0.500  2.81
Co 0.500 0.209 0.063  1.04
Co 0.500 0.791 0.937  1.04
Co 0.500 0.063 0.791  1.04
Co 0.500 0.709 0.437  1.04
Co 0.500 0.937 0.209  1.04
Co 0.500 0.291 0.563  1.04
Co 0.500 0.563 0.709  1.04
Co 0.500 0.437 0.291  1.04
Co 0.500 0.500 0.000  0.57
Co 0.500 0.000 0.500  0.57
W 0.000 0.677 0.177  0.04
W 0.000 0.323 0.823  0.04
W 0.000 0.177 0.323  0.04
W 0.000 0.823 0.677  0.04

Space group: P4/mbm (127)
Formation energy (eV per atom): -0.062
Density (g/cm3): 11.08
Density of states at the Fermi level (states/eV/f.u.): 6.34
Uncorrected energy (eV/atom): -7.797

***

# 9
First-principles (PBE) data for a geometry-optimized Y2BeFeCo6 structure, as listed in Alexandria via LeMat-Bulk.

abc: 5.919 5.919 5.919
angles: 60.00 60.00 90.00
Last column: magnetic moment on the atom in μB.
Element x y z (fractional)
Y 0.250 0.750 0.500  -0.21
Y 0.750 0.250 0.500  -0.21
Be 0.000 0.000 0.000  -0.06
Fe 0.500 0.500 0.000  2.41
Co 0.237 0.763 0.000  1.03
Co 0.763 0.763 0.000  1.03
Co 0.237 0.237 0.526  1.03
Co 0.763 0.237 0.000  1.03
Co 0.237 0.237 0.000  1.03
Co 0.763 0.763 0.474  1.03

Space group: Fm-3m (225)
Formation energy (eV per atom): 0.207
Density (g/cm3): 6.75
Density of states at the Fermi level (states/eV/f.u.): 4.35
Uncorrected energy (eV/atom): -6.568

***

# 10
First-principles (PBE) data for a geometry-optimized Y2BeFe2Co5 structure, as listed in Alexandria via LeMat-Bulk.

abc: 3.174 9.423 9.423
angles: 90.00 90.00 90.00
Last column: magnetic moment on the atom in μB.
Element x y z (fractional)
Y 0.000 0.674 0.174  -0.26
Y 0.000 0.326 0.826  -0.26
Y 0.000 0.174 0.326  -0.26
Y 0.000 0.826 0.674  -0.26
Be 0.000 0.000 0.000  -0.04
Be 0.000 0.500 0.500  -0.04
Fe 0.000 0.132 0.632  2.44
Fe 0.000 0.868 0.368  2.44
Fe 0.000 0.632 0.868  2.44
Fe 0.000 0.368 0.132  2.44
Co 0.500 0.184 0.052  1.34
Co 0.500 0.816 0.948  1.34
Co 0.500 0.052 0.816  1.34
Co 0.500 0.684 0.448  1.34
Co 0.500 0.948 0.184  1.34
Co 0.500 0.316 0.552  1.34
Co 0.500 0.552 0.684  1.34
Co 0.500 0.448 0.316  1.34
Co 0.500 0.500 0.000  1.37
Co 0.500 0.000 0.500  1.37

Space group: P4/mbm (127)
Formation energy (eV per atom): 0.082
Density (g/cm3): 6.99
Density of states at the Fermi level (states/eV/f.u.): 9.80
Uncorrected energy (eV/atom): -6.829

***

# 11
First-principles (PBE) data for a geometry-optimized Zr2Be2Fe5Co structure, as listed in Alexandria via LeMat-Bulk.

abc: 3.334 8.669 8.669
angles: 90.00 90.00 90.00
Last column: magnetic moment on the atom in μB.
Element x y z (fractional)
Zr 0.000 0.677 0.177  -0.45
Zr 0.000 0.323 0.823  -0.45
Zr 0.000 0.177 0.323  -0.45
Zr 0.000 0.823 0.677  -0.45
Be 0.000 0.118 0.618  -0.08
Be 0.000 0.882 0.382  -0.08
Be 0.000 0.618 0.882  -0.08
Be 0.000 0.382 0.118  -0.08
Fe 0.500 0.207 0.063  2.03
Fe 0.500 0.793 0.937  2.03
Fe 0.500 0.063 0.793  2.03
Fe 0.500 0.707 0.437  2.03
Fe 0.500 0.937 0.207  2.03
Fe 0.500 0.293 0.563  2.03
Fe 0.500 0.563 0.707  2.03
Fe 0.500 0.437 0.293  2.03
Fe 0.500 0.500 0.000  1.33
Fe 0.500 0.000 0.500  1.33
Co 0.000 0.000 0.000  1.67
Co 0.000 0.500 0.500  1.67

Space group: P4/mbm (127)
Formation energy (eV per atom): -0.140
Density (g/cm3): 7.14
Density of states at the Fermi level (states/eV/f.u.): 7.85
Uncorrected energy (eV/atom): -7.537

***

# 12
First-principles (PBE) data for a geometry-optimized Be5GaCo6 structure, as listed in Alexandria via LeMat-Bulk.

abc: 3.747 5.325 5.916
angles: 90.00 71.54 90.00
Last column: magnetic moment on the atom in μB.
Element x y z (fractional)
Be 0.664 0.500 0.672  -0.02
Be 0.333 0.000 0.334  -0.02
Be 0.000 0.500 0.000  -0.01
Be 0.667 0.000 0.666  -0.02
Be 0.336 0.500 0.328  -0.02
Co 0.827 0.741 0.346  0.43
Co 0.827 0.259 0.346  0.43
Co 0.500 0.265 0.000  0.17
Co 0.500 0.735 0.000  0.17
Co 0.173 0.741 0.654  0.43
Co 0.173 0.259 0.654  0.43
Ga 0.000 0.000 0.000  -0.02

Space group: Cmmm (65)
Formation energy (eV per atom): -0.284
Density (g/cm3): 6.95
Density of states at the Fermi level (states/eV/f.u.): 12.45
Uncorrected energy (eV/atom): -5.642